[1]
The following is a GGA-PBE calculation of CaSnPb4 after structural relaxation, from Alexandria via LeMat-Bulk.

Lattice parameters (Å, degrees): 8.046 8.046 4.777 90.00 90.00 144.09
Atoms (fractional coordinates):
Ca 0.000 0.000 0.000
Sn 0.500 0.500 0.500
Pb 0.165 0.835 0.500
Pb 0.337 0.663 0.000
Pb 0.663 0.337 0.000
Pb 0.835 0.165 0.500

Summary:
Density of states at the Fermi level (states/eV per cell): 3.83
Energy of formation (meV/atom): -185.2
Distance to the lowest polymorph of the same formula (meV/atom): 0
Crystal system: orthorhombic
SG: Cmmm (65)

***

[2]
The following is a GGA-PBE calculation of TcW2Cl after structural relaxation, from Alexandria via LeMat-Bulk.

Lattice parameters (Å, degrees): 3.745 3.745 4.575 90.00 90.00 90.00
Atoms (fractional coordinates):
Tc 0.000 0.000 0.000
W 0.000 0.500 0.500
W 0.500 0.000 0.500
Cl 0.500 0.500 0.000

Summary:
Density of states at the Fermi level (states/eV per cell): 4.32
Formation energy (no corrections) (eV per atom): 1.301
Distance to the lowest polymorph of the same formula (meV/atom): 938
Crystal system: tetragonal
SG: P4/mmm (123)

***

[3]
The following is a GGA-PBE calculation of CaHfI2O after structural relaxation, from Alexandria via LeMat-Bulk.

Lattice parameters (Å, degrees): 6.009 6.009 3.974 90.00 90.00 90.00
Atoms (fractional coordinates):
Ca 0.000 0.000 0.000
Hf 0.500 0.500 0.500
I 0.000 0.500 0.500
I 0.500 0.000 0.500
O 0.500 0.500 0.000

Summary:
Density of states at the Fermi level (states/eV per cell): 3.74
Formation energy (no corrections) (eV per atom): -1.254
Distance to the lowest polymorph of the same formula (meV/atom): 0
Crystal system: tetragonal
SG: P4/mmm (123)

***

[4]
The following is a GGA-PBE calculation of Nd4ThBi5 after structural relaxation, from Alexandria via LeMat-Bulk.

Lattice parameters (Å, degrees): 16.608 16.608 16.608 164.05 164.05 22.63
Atoms (fractional coordinates):
Nd 0.102 0.102 0.000
Nd 0.300 0.300 0.000
Nd 0.700 0.700 0.000
Nd 0.898 0.898 0.000
Th 0.500 0.500 0.000
Bi 0.000 0.000 0.000
Bi 0.200 0.200 0.000
Bi 0.401 0.401 0.000
Bi 0.599 0.599 0.000
Bi 0.800 0.800 0.000

Summary:
Density of states at the Fermi level (states/eV per cell): 2.84
Energy of formation (meV/atom): -883.1
Distance to the lowest polymorph of the same formula (meV/atom): 7
Crystal system: tetragonal
SG: I4/mmm (139)

***

Number 1: total DFT energy (no corrections) -21.9 eV per formula unit. Number 2: total DFT energy (no corrections) -32.9 eV per formula unit. Number 3: total DFT energy (no corrections) -26.3 eV per formula unit. Number 4: total DFT energy (no corrections) -54.7 eV per formula unit.